(1)
First-principles (PBE) data for PrSnPPd after structural relaxation, as listed in the Alexandria database.

Computed properties:
* energy of formation: -3.50 eV per formula unit
* SG: P4/nmm, No. 129

Lattice parameters (Å, degrees): 4.239 4.239 10.667 90.00 90.00 90.00
Atoms (fractional coordinates):
Pr 0.250 0.250 0.146
Pr 0.750 0.750 0.854
Sn 0.250 0.750 0.500
Sn 0.750 0.250 0.500
P 0.250 0.250 0.882
P 0.750 0.750 0.118
Pd 0.250 0.250 0.663
Pd 0.750 0.750 0.337

***

(2)
First-principles (PBE) data for Pr3SnP2Pd9 after structural relaxation, as listed in the Alexandria database.

Computed properties:
* energy of formation: -10.07 eV per formula unit
* SG: P-3m1, No. 164

Lattice parameters (Å, degrees): 6.304 6.304 9.175 90.00 90.00 120.00
Atoms (fractional coordinates):
Pr 0.000 0.000 0.000
Pr 0.333 0.667 0.646
Pr 0.667 0.333 0.354
Sn 0.000 0.000 0.500
P 0.333 0.667 0.158
P 0.667 0.333 0.842
Pd 0.000 0.500 0.000
Pd 0.155 0.309 0.279
Pd 0.155 0.845 0.279
Pd 0.309 0.155 0.721
Pd 0.500 0.000 0.000
Pd 0.500 0.500 0.000
Pd 0.691 0.845 0.279
Pd 0.845 0.155 0.721
Pd 0.845 0.691 0.721

***

(3)
First-principles (PBE) data for PrTcP2Pd after structural relaxation, as listed in the Alexandria database.

Computed properties:
* energy of formation: -4.29 eV per formula unit
* SG: I-4m2, No. 119

Lattice parameters (Å, degrees): 6.335 6.335 6.335 143.28 143.28 52.90
Atoms (fractional coordinates):
Pr 0.000 0.000 0.000
Tc 0.250 0.750 0.500
P 0.367 0.367 0.000
P 0.633 0.633 0.000
Pd 0.750 0.250 0.500

***

(4)
First-principles (PBE) data for Pr8Te4P3Pd after structural relaxation, as listed in the Alexandria database.

Computed properties:
* SG: R-3m, No. 166
* ΔE_f (raw): -1.417 eV per atom

Lattice parameters (Å, degrees): 8.861 8.861 8.861 58.54 58.54 58.54
Atoms (fractional coordinates):
Pr 0.234 0.743 0.743
Pr 0.238 0.238 0.238
Pr 0.257 0.257 0.766
Pr 0.257 0.766 0.257
Pr 0.743 0.234 0.743
Pr 0.743 0.743 0.234
Pr 0.762 0.762 0.762
Pr 0.766 0.257 0.257
Te 0.000 0.000 0.000
Te 0.000 0.500 0.500
Te 0.500 0.000 0.500
Te 0.500 0.500 0.000
P 0.000 0.000 0.500
P 0.000 0.500 0.000
P 0.500 0.000 0.000
Pd 0.500 0.500 0.500

***

(5)
First-principles (PBE) data for Pr4Te2PPd after structural relaxation, as listed in the Alexandria database.

Computed properties:
* SG: P2/m, No. 10
* ΔE_f (raw): -1.278 eV per atom

Lattice parameters (Å, degrees): 7.616 4.308 7.710 90.00 108.66 90.00
Atoms (fractional coordinates):
Pr 0.231 0.000 0.220
Pr 0.255 0.500 0.780
Pr 0.745 0.500 0.220
Pr 0.769 0.000 0.780
Te 0.000 0.000 0.500
Te 0.500 0.500 0.500
P 0.000 0.500 0.000
Pd 0.500 0.000 0.000

***

(6)
First-principles (PBE) data for PrYP2Pd2 after structural relaxation, as listed in the Alexandria database.

Computed properties:
* energy of formation: -7.43 eV per formula unit
* SG: P-3m1, No. 164

Lattice parameters (Å, degrees): 4.216 4.216 7.732 90.00 90.00 120.00
Atoms (fractional coordinates):
Pr 0.000 0.000 0.000
Y 0.000 0.000 0.500
P 0.333 0.667 0.258
P 0.667 0.333 0.742
Pd 0.333 0.667 0.738
Pd 0.667 0.333 0.262

***

(7)
First-principles (PBE) data for PPd2Pt after structural relaxation, as listed in the Alexandria database.

Computed properties:
* energy of formation: -1.00 eV per formula unit
* SG: I-42d, No. 122

Lattice parameters (Å, degrees): 5.596 5.596 5.596 101.41 101.41 127.17
Atoms (fractional coordinates):
P 0.000 0.000 0.000
P 0.750 0.250 0.500
Pd 0.067 0.125 0.442
Pd 0.375 0.933 0.058
Pd 0.683 0.625 0.558
Pd 0.875 0.317 0.942
Pt 0.250 0.750 0.500
Pt 0.500 0.500 0.000

***

(8)
First-principles (PBE) data for PPd2Pt2 after structural relaxation, as listed in the Alexandria database.

Computed properties:
* energy of formation: -0.29 eV per formula unit
* SG: P4/mbm, No. 127
* offset from the most stable computed form: 269 meV per atom

Lattice parameters (Å, degrees): 6.098 6.098 4.384 90.00 90.00 90.00
Atoms (fractional coordinates):
P 0.000 0.000 0.000
P 0.500 0.500 0.000
Pd 0.161 0.339 0.500
Pd 0.339 0.839 0.500
Pd 0.661 0.161 0.500
Pd 0.839 0.661 0.500
Pt 0.154 0.654 0.000
Pt 0.346 0.154 0.000
Pt 0.654 0.846 0.000
Pt 0.846 0.346 0.000

***

(9)
First-principles (PBE) data for P2PdPt6 after structural relaxation, as listed in the Alexandria database.

Computed properties:
* energy of formation: -2.13 eV per formula unit
* SG: C2/c, No. 15

Lattice parameters (Å, degrees): 7.661 7.661 7.613 119.74 119.74 54.19
Atoms (fractional coordinates):
P 0.223 0.223 0.223
P 0.223 0.223 0.723
P 0.777 0.777 0.277
P 0.777 0.777 0.777
Pd 0.415 0.585 0.750
Pd 0.585 0.415 0.250
Pt 0.057 0.183 0.370
Pt 0.174 0.583 0.316
Pt 0.174 0.583 0.941
Pt 0.183 0.057 0.870
Pt 0.417 0.826 0.184
Pt 0.417 0.826 0.559
Pt 0.583 0.174 0.441
Pt 0.583 0.174 0.816
Pt 0.817 0.943 0.130
Pt 0.826 0.417 0.059
Pt 0.826 0.417 0.684
Pt 0.943 0.817 0.630

***

(10)
First-principles (PBE) data for PPdPt after structural relaxation, as listed in the Alexandria database.

Computed properties:
* energy of formation: -1.01 eV per formula unit
* SG: Pmmn, No. 59
* offset from the most stable computed form: 59 meV per atom

Lattice parameters (Å, degrees): 4.087 4.093 5.683 90.00 90.00 90.00
Atoms (fractional coordinates):
P 0.250 0.250 0.245
P 0.750 0.750 0.755
Pd 0.250 0.750 0.499
Pd 0.750 0.250 0.501
Pt 0.250 0.750 0.999
Pt 0.750 0.250 0.001

***

(11)
First-principles (PBE) data for P2Pd2Pt3 after structural relaxation, as listed in the Alexandria database.

Computed properties:
* energy of formation: -2.17 eV per formula unit
* SG: P-1, No. 2

Lattice parameters (Å, degrees): 3.734 4.924 6.267 75.75 82.28 77.81
Atoms (fractional coordinates):
P 0.234 0.383 0.270
P 0.766 0.617 0.730
Pd 0.374 0.305 0.694
Pd 0.626 0.695 0.306
Pt 0.000 0.000 0.500
Pt 0.206 0.761 0.932
Pt 0.794 0.239 0.068

***

(12)
First-principles (PBE) data for P2Pd4Pt3 after structural relaxation, as listed in the Alexandria database.

Computed properties:
* energy of formation: -3.10 eV per formula unit
* SG: P-1, No. 2

Lattice parameters (Å, degrees): 4.487 4.601 7.599 98.06 104.24 105.85
Atoms (fractional coordinates):
P 0.169 0.210 0.251
P 0.831 0.790 0.749
Pd 0.256 0.206 0.957
Pd 0.341 0.757 0.282
Pd 0.659 0.243 0.718
Pd 0.744 0.794 0.043
Pt 0.000 0.000 0.500
Pt 0.260 0.617 0.693
Pt 0.740 0.383 0.307

***

(13)
First-principles (PBE) data for PPd2Pt after structural relaxation, as listed in the Alexandria database.

Computed properties:
* energy of formation: -1.64 eV per formula unit
* SG: Pnma, No. 62

Lattice parameters (Å, degrees): 5.769 7.725 5.431 90.00 90.00 90.00
Atoms (fractional coordinates):
P 0.114 0.250 0.033
P 0.386 0.750 0.533
P 0.614 0.250 0.467
P 0.886 0.750 0.967
Pd 0.178 0.564 0.825
Pd 0.178 0.936 0.825
Pd 0.322 0.064 0.325
Pd 0.322 0.436 0.325
Pd 0.678 0.564 0.675
Pd 0.678 0.936 0.675
Pd 0.822 0.064 0.175
Pd 0.822 0.436 0.175
Pt 0.019 0.750 0.368
Pt 0.481 0.250 0.868
Pt 0.519 0.750 0.132
Pt 0.981 0.250 0.632

***

(14)
First-principles (PBE) data for P2PdPt after structural relaxation, as listed in the Alexandria database.

Computed properties:
* energy of formation: -0.01 eV per formula unit
* SG: Fm-3m, No. 225
* offset from the most stable computed form: 226 meV per atom

Lattice parameters (Å, degrees): 4.375 4.375 4.375 60.00 60.00 60.00
Atoms (fractional coordinates):
P 0.250 0.250 0.250
P 0.750 0.750 0.750
Pd 0.000 0.000 0.000
Pt 0.500 0.500 0.500

***

(15)
First-principles (PBE) data for PPd3Pt after structural relaxation, as listed in the Alexandria database.

Computed properties:
* energy of formation: -1.58 eV per formula unit
* SG: C2/c, No. 15
* offset from the most stable computed form: 64 meV per atom

Lattice parameters (Å, degrees): 5.629 5.629 12.217 109.64 109.64 60.20
Atoms (fractional coordinates):
P 0.000 0.000 0.000
P 0.000 0.000 0.500
P 0.364 0.636 0.750
P 0.636 0.364 0.250
Pd 0.021 0.695 0.319
Pd 0.234 0.456 0.106
Pd 0.261 0.544 0.898
Pd 0.305 0.979 0.181
Pd 0.456 0.234 0.606
Pd 0.456 0.739 0.602
Pd 0.544 0.261 0.398
Pd 0.544 0.766 0.394
Pd 0.695 0.021 0.819
Pd 0.739 0.456 0.102
Pd 0.766 0.544 0.894
Pd 0.979 0.305 0.681
Pt 0.047 0.252 0.394
Pt 0.252 0.047 0.894
Pt 0.748 0.953 0.106
Pt 0.953 0.748 0.606

***

(16)
First-principles (PBE) data for PPd3Pt after structural relaxation, as listed in the Alexandria database.

Computed properties:
* energy of formation: -1.91 eV per formula unit
* SG: C2/m, No. 12
* offset from the most stable computed form: 0 meV per atom

Lattice parameters (Å, degrees): 5.584 5.584 5.339 105.19 105.19 90.22
Atoms (fractional coordinates):
P 0.249 0.249 0.007
P 0.751 0.751 0.993
Pd 0.071 0.570 0.282
Pd 0.427 0.427 0.716
Pd 0.430 0.929 0.718
Pd 0.570 0.071 0.282
Pd 0.573 0.573 0.284
Pd 0.929 0.430 0.718
Pt 0.069 0.069 0.286
Pt 0.931 0.931 0.714

***

(17)
First-principles (PBE) data for P2Pd5Pt after structural relaxation, as listed in the Alexandria database.

Computed properties:
* energy of formation: -2.52 eV per formula unit
* SG: C2/m, No. 12

Lattice parameters (Å, degrees): 6.832 6.832 3.536 104.92 104.92 51.85
Atoms (fractional coordinates):
P 0.200 0.200 0.200
P 0.800 0.800 0.800
Pd 0.000 0.000 0.000
Pd 0.111 0.600 0.355
Pd 0.400 0.889 0.645
Pd 0.600 0.111 0.355
Pd 0.889 0.400 0.645
Pt 0.500 0.500 0.000

***

(18)
First-principles (PBE) data for PPd3Pt after structural relaxation, as listed in the Alexandria database.

Computed properties:
* energy of formation: 0.73 eV per formula unit
* SG: Pm-3m, No. 221
* offset from the most stable computed form: 526 meV per atom

Lattice parameters (Å, degrees): 4.430 4.430 4.430 90.00 90.00 90.00
Atoms (fractional coordinates):
P 0.000 0.000 0.000
Pd 0.000 0.000 0.500
Pd 0.000 0.500 0.000
Pd 0.500 0.000 0.000
Pt 0.500 0.500 0.500

***

(19)
First-principles (PBE) data for P2PdPt2 after structural relaxation, as listed in the Alexandria database.

Computed properties:
* energy of formation: -0.21 eV per formula unit
* SG: I4/mmm, No. 139

Lattice parameters (Å, degrees): 6.094 6.094 6.094 142.59 142.59 53.94
Atoms (fractional coordinates):
P 0.250 0.750 0.500
P 0.750 0.250 0.500
Pd 0.000 0.000 0.000
Pt 0.376 0.376 0.000
Pt 0.624 0.624 0.000

***

(20)
First-principles (PBE) data for PPd2Pt2 after structural relaxation, as listed in the Alexandria database.

Computed properties:
* energy of formation: -1.63 eV per formula unit
* SG: Ccc2, No. 37
* offset from the most stable computed form: 0 meV per atom

Lattice parameters (Å, degrees): 5.187 5.187 5.619 90.00 90.00 91.26
Atoms (fractional coordinates):
P 0.000 0.500 0.000
P 0.500 0.000 0.500
Pd 0.139 0.232 0.642
Pd 0.232 0.139 0.142
Pd 0.768 0.861 0.142
Pd 0.861 0.768 0.642
Pt 0.272 0.640 0.335
Pt 0.360 0.728 0.835
Pt 0.640 0.272 0.835
Pt 0.728 0.360 0.335

***

Total energy? In order: -5.7202; -5.7311; -7.0887; -5.9316; -5.7782; -6.6472; -5.7086; -5.6326; -6.0429; -5.8853; -5.9279; -5.8680; -5.8689; -5.5164; -5.7225; -5.7869; -5.6676; -5.2608; -5.6603; -5.9020 eV/atom.